1.
A plane-wave DFT calculation with GGA-PBE was carried out for a geometry-optimized NdY2Ho6Tm structure.

Properties
As for the space group: No. 15. The calculation puts the uncorrected energy at -4.8382 eV per atom. The value obtained for the formation energy is 0.125 eV/atom.

abc: 9.410 8.775 8.775
angles: 117.18 93.00 93.00
Fractional positions:
Ho1 0.816 0.438 0.986
Ho2 0.316 0.986 0.438
Ho3 0.558 0.755 0.123
Y1 0.451 0.798 0.695
Ho4 0.884 0.291 0.515
Y2 0.549 0.202 0.305
Ho5 0.684 0.014 0.562
Ho6 0.384 0.515 0.291
Ho7 0.442 0.245 0.877
Tm1 0.750 0.589 0.411
Ho8 0.942 0.877 0.245
Ho9 0.058 0.123 0.755
Tm2 0.250 0.411 0.589
Ho10 0.184 0.562 0.014
Nd1 0.750 0.030 0.970
Y3 0.049 0.305 0.202
Ho11 0.616 0.485 0.709
Ho12 0.116 0.709 0.485
Y4 0.951 0.695 0.798
Nd2 0.250 0.970 0.030

2.
A plane-wave DFT calculation with GGA-PBE was carried out for a geometry-optimized NbCu2Ni2 structure.

Properties
Its energy relative to the lowest polymorph listed for this composition is 0.7 kJ/mol of atoms. As for the space group: No. 127. The calculation puts the uncorrected energy at -5.9024 eV per atom. The value obtained for the formation energy is 0.063 eV/atom.

abc: 6.891 6.891 2.701
angles: 90.00 90.00 90.00
Fractional positions:
Cu1 0.332 0.168 0.500
Ni1 0.627 0.127 0.000
Ni2 0.873 0.627 0.000
Cu2 0.668 0.832 0.500
Nb1 0.000 0.000 0.000
Ni3 0.127 0.373 0.000
Nb2 0.500 0.500 0.000
Cu3 0.168 0.668 0.500
Ni4 0.373 0.873 0.000
Cu4 0.832 0.332 0.500

Q: The highest uncorrected energy belongs to which entry?
A: NdY2Ho6Tm